(1)
Compound: MnPRu4
Source: the Alexandria database
Functional: GGA-PBE
Structure: optimized geometry

energy of formation from the pure elements	4.2	eV per formula unit

abc: 7.196 7.196 7.196
angles: 90.00 90.00 90.00
Space group F-43m (No. 216)
Inequivalent atoms, fractional coordinates:
1 Mn 0.000 0.000 0.000
2 P 0.250 0.250 0.750
3 Ru 0.125 0.125 0.375

***

(2)
Compound: MnPRuS
Source: the Alexandria database
Functional: GGA-PBE
Structure: optimized geometry

uncorrected formation energy	-302.1	meV/atom

abc: 3.019 2.994 12.160
angles: 90.00 90.00 90.00
Space group Amm2 (No. 38)
Inequivalent atoms, fractional coordinates:
1 Mn 0.000 0.000 0.000
2 P 0.000 0.000 0.814
3 Ru 0.500 0.000 0.212
4 S 0.500 0.000 0.551

***

(3)
Compound: MnPRuS
Source: the Alexandria database
Functional: GGA-PBE
Structure: optimized geometry

uncorrected formation energy	-325.7	meV/atom

abc: 2.881 2.932 12.295
angles: 90.00 90.00 90.00
Space group Imm2 (No. 44)
Inequivalent atoms, fractional coordinates:
1 Mn 0.000 0.000 0.000
2 P 0.000 0.000 0.598
3 Ru 0.000 0.000 0.213
4 S 0.000 0.500 0.363

***

(4)
Compound: MnPRuS
Source: the Alexandria database
Functional: GGA-PBE
Structure: optimized geometry

uncorrected formation energy	-357.4	meV/atom

abc: 6.309 3.652 5.711
angles: 90.00 90.10 90.00
Space group Cm (No. 8)
Inequivalent atoms, fractional coordinates:
1 Mn 0.000 0.000 0.000
2 P 0.168 0.500 0.246
3 Ru 0.334 0.000 0.373
4 S 0.333 0.000 0.781

***

(5)
Compound: MnPRuS
Source: the Alexandria database
Functional: GGA-PBE
Structure: optimized geometry

uncorrected formation energy	-254.2	meV/atom

abc: 7.555 3.013 4.879
angles: 90.00 102.26 90.00
Space group Cm (No. 8)
Inequivalent atoms, fractional coordinates:
1 Mn 0.000 0.000 0.000
2 P 0.295 0.000 0.072
3 Ru 0.280 0.500 0.433
4 S 0.019 0.500 0.659

***

(6)
Compound: MnPRuS2
Source: the Alexandria database
Functional: GGA-PBE
Structure: optimized geometry

uncorrected formation energy	577.8	meV/atom

abc: 4.814 4.814 4.339
angles: 90.00 90.00 90.00
Space group P4/mmm (No. 123)
Inequivalent atoms, fractional coordinates:
1 Mn 0.000 0.000 0.000
2 P 0.500 0.500 0.000
3 Ru 0.500 0.500 0.500
4 S 0.000 0.500 0.500

***

(7)
Compound: MnPRuS2
Source: the Alexandria database
Functional: GGA-PBE
Structure: optimized geometry

uncorrected formation energy	789.7	meV/atom

abc: 4.307 4.307 4.332
angles: 90.00 90.00 90.00
Space group P4/mmm (No. 123)
Inequivalent atoms, fractional coordinates:
1 Mn 0.000 0.000 0.000
2 P 0.000 0.000 0.500
3 Ru 0.500 0.500 0.500
4 S 0.000 0.500 0.000

***

(8)
Compound: MnPRuS
Source: the Alexandria database
Functional: GGA-PBE
Structure: optimized geometry

uncorrected formation energy	-406.8	meV/atom

abc: 3.2223 3.2223 19.5854
angles: 90.00 90.00 120.00
Space group R3m (No. 160, hexagonal axes)
Inequivalent atoms, fractional coordinates:
1 Mn 0.0000 0.0000 0.0000
2 P 0.0000 0.0000 0.2561
3 Ru 0.0000 0.0000 0.8555
4 S 0.0000 0.0000 0.7354

***

Short version: size of the total moment = 9.23 2.58 0.00 6.89 1.00 4.21 0.00 5.93 Bohr magnetons per cell, in the order given.